(1)
This record from the Alexandria database describes a relaxed Ti2Pd7Au2 crystal. The functional is PBE-GGA.

Symmetry: C2/m (12)
Formation enthalpy at 0 K: 67 meV per atom
DFT total energy: -5.269 eV per atom
Magnetization: 0.0 μB per cell

a = 6.502 Å, b = 6.502 Å, c = 6.733 Å
α = 107.58°, β = 107.58°, γ = 108.23°
Element x y z (fractional)
Ti: 0.199 0.801 0.000
Ti: 0.801 0.199 0.000
Pd: 0.000 0.000 0.500
Pd: 0.130 0.387 0.902
Pd: 0.165 0.165 0.227
Pd: 0.387 0.130 0.902
Pd: 0.613 0.870 0.098
Pd: 0.835 0.835 0.773
Pd: 0.870 0.613 0.098
Au: 0.438 0.438 0.682
Au: 0.562 0.562 0.318

=====

(2)
This record from the Alexandria database describes a relaxed SrSbRu2 crystal. The functional is PBE-GGA.

Symmetry: Pm (6)
Formation energy without anion corrections: 0.166 eV/atom
DFT total energy: -5.923 eV per atom
Magnetization: 0.0 μB per cell

a = 3.784 Å, b = 4.237 Å, c = 6.195 Å
α = 90.00°, β = 102.42°, γ = 90.00°
Element x y z (fractional)
Sr: 0.000 0.000 0.000
Sb: 0.366 0.500 0.680
Ru: 0.526 0.000 0.445
Ru: 0.790 0.500 0.376

=====

(3)
This record from the Alexandria database describes a relaxed ReAgSb crystal. The functional is PBE-GGA.

Symmetry: Fmm2 (42)
Distance to the lowest polymorph of the same formula: 119 meV per atom
Formation energy without anion corrections: 0.809 eV/atom
DFT total energy: -5.665 eV per atom
Magnetization: 0.0 μB per cell

a = 3.139 Å, b = 4.948 Å, c = 15.443 Å
α = 90.00°, β = 90.00°, γ = 90.00°
Element x y z (fractional)
Re: 0.000 0.000 0.000
Re: 0.000 0.500 0.500
Re: 0.500 0.000 0.500
Re: 0.500 0.500 0.000
Ag: 0.000 0.000 0.653
Ag: 0.000 0.500 0.153
Ag: 0.500 0.000 0.153
Ag: 0.500 0.500 0.653
Sb: 0.000 0.000 0.353
Sb: 0.000 0.500 0.853
Sb: 0.500 0.000 0.853
Sb: 0.500 0.500 0.353

=====

(4)
This record from the Alexandria database describes a relaxed ZnAs2Se crystal. The functional is PBE-GGA.

Symmetry: Cmmm (65)
Distance to the lowest polymorph of the same formula: 523 meV per atom
Formation energy without anion corrections: 0.359 eV/atom
DFT total energy: -3.156 eV per atom
Magnetization: 0.0 μB per cell

a = 5.194 Å, b = 11.599 Å, c = 2.732 Å
α = 90.00°, β = 90.00°, γ = 90.00°
Element x y z (fractional)
Zn: 0.000 0.000 0.000
Zn: 0.500 0.500 0.000
As: 0.250 0.250 0.500
As: 0.250 0.750 0.500
As: 0.750 0.250 0.500
As: 0.750 0.750 0.500
Se: 0.000 0.500 0.000
Se: 0.500 0.000 0.000